[1]
A plane-wave DFT calculation with PBE-GGA was carried out for crystalline HoGa3Si at its relaxed geometry.

Cell and atoms, written as CIF:
```
data_HoGa3Si
_chemical_formula_sum 'Ho2 Ga6 Si2'
_cell_length_a 9.2799
_cell_length_b 3.0132
_cell_length_c 7.7574
_cell_angle_alpha 90.00
_cell_angle_beta 90.00
_cell_angle_gamma 90.00
_space_group_name_H-M_alt 'P m m a'
_space_group_IT_number 51
loop_
_space_group_symop_operation_xyz
'x,y,z'
'-x,-y,-z'
'-x+1/2,-y,z'
'x+1/2,y,-z'
'x+1/2,-y,-z'
'-x+1/2,y,z'
'-x,y,-z'
'x,-y,z'
loop_
_atom_site_label
_atom_site_type_symbol
_atom_site_fract_x
_atom_site_fract_y
_atom_site_fract_z
Ho1 Ho 0.2500 0.0000 0.1722
Ga1 Ga 0.0000 0.5000 0.0000
Ga2 Ga 0.0166 0.5000 0.6604
Si1 Si 0.2500 0.5000 0.8272
```

## Properties
- E_tot: -3.866 eV per atom
- Calculated volume: 21.69 A^3/atom
- Size of the total moment: 0.0 μB/cell
- Formation energy without anion corrections: -49 meV/atom

---

[2]
A plane-wave DFT calculation with PBE-GGA was carried out for crystalline PmSm4Y6 at its relaxed geometry.

Cell and atoms, written as CIF:
```
data_PmSm4Y6
_chemical_formula_sum 'Pm4 Sm16 Y24'
_cell_length_a 5.7869
_cell_length_b 9.7165
_cell_length_c 26.0026
_cell_angle_alpha 90.00
_cell_angle_beta 90.00
_cell_angle_gamma 90.00
_space_group_name_H-M_alt 'C m c m'
_space_group_IT_number 63
_space_group_name_Hall '-C 2c 2'
loop_
_atom_site_label
_atom_site_type_symbol
_atom_site_fract_x
_atom_site_fract_y
_atom_site_fract_z
Pm1 Pm 0.0000 0.1842 0.2500
Sm1 Sm 0.0000 0.1571 0.5433
Sm2 Sm 0.0000 0.4707 0.6216
Y1 Y 0.0000 0.1443 0.6816
Y2 Y 0.0000 0.1889 0.1034
Y3 Y 0.0000 0.4813 0.7500
Y4 Y 0.0000 0.5000 0.0000
```

## Properties
- E_tot: -5.562 eV per atom
- Calculated volume: 33.23 A^3/atom
- E_form: 1.23 eV/f.u.
- Size of the total moment: 0.0 μB/cell
- Energy above the most stable polymorph in this dataset: 0 meV/atom

---

[3]
A plane-wave DFT calculation with PBE-GGA was carried out for crystalline PmSc2O at its relaxed geometry.

Cell and atoms, written as CIF:
```
data_PmSc2O
_chemical_formula_sum 'Pm1 Sc2 O1'
_cell_length_a 3.0028
_cell_length_b 3.0028
_cell_length_c 8.5049
_cell_angle_alpha 90.00
_cell_angle_beta 90.00
_cell_angle_gamma 90.00
_space_group_name_H-M_alt 'P 4/m m m'
_space_group_IT_number 123
_space_group_name_Hall '-P 4 2'
loop_
_atom_site_label
_atom_site_type_symbol
_atom_site_fract_x
_atom_site_fract_y
_atom_site_fract_z
Pm1 Pm 0.0000 0.0000 0.0000
Sc1 Sc 0.5000 0.5000 0.3341
O1 O 0.0000 0.0000 0.5000
```

## Properties
- E_tot: -6.408 eV per atom
- Calculated volume: 19.17 A^3/atom
- Size of the total moment: 1.3 μB/cell
- Formation energy without anion corrections: -815 meV/atom
- Energy above the most stable polymorph in this dataset: 470 meV/atom

---

[4]
A plane-wave DFT calculation with PBE-GGA was carried out for crystalline MgSb2Pb at its relaxed geometry.

Cell and atoms, written as CIF:
```
data_MgSb2Pb
_chemical_formula_sum 'Mg1 Sb2 Pb1'
_cell_length_a 5.0577
_cell_length_b 5.0577
_cell_length_c 4.3144
_cell_angle_alpha 90.00
_cell_angle_beta 90.00
_cell_angle_gamma 90.00
_space_group_name_H-M_alt 'P 4/m m m'
_space_group_IT_number 123
_space_group_name_Hall '-P 4 2'
loop_
_atom_site_label
_atom_site_type_symbol
_atom_site_fract_x
_atom_site_fract_y
_atom_site_fract_z
Mg1 Mg 0.0000 0.0000 0.0000
Sb1 Sb 0.0000 0.5000 0.5000
Pb1 Pb 0.5000 0.5000 0.0000
```

## Properties
- E_tot: -3.359 eV per atom
- Calculated volume: 27.59 A^3/atom
- Size of the total moment: 0.0 μB/cell
- Formation energy without anion corrections: 28 meV/atom
- Energy above the most stable polymorph in this dataset: 87 meV/atom

---

[5]
A plane-wave DFT calculation with PBE-GGA was carried out for crystalline Cr4SiRu at its relaxed geometry.

Cell and atoms, written as CIF:
```
data_Cr4SiRu
_chemical_formula_sum 'Cr16 Si4 Ru4'
_cell_length_a 6.6546
_cell_length_b 6.6546
_cell_length_c 6.6546
_cell_angle_alpha 90.00
_cell_angle_beta 90.00
_cell_angle_gamma 90.00
_space_group_name_H-M_alt 'F -4 3 m'
_space_group_IT_number 216
_space_group_name_Hall 'F -4 2 3'
loop_
_atom_site_label
_atom_site_type_symbol
_atom_site_fract_x
_atom_site_fract_y
_atom_site_fract_z
Cr1 Cr 0.1225 0.1225 0.3775
Si1 Si 0.2500 0.2500 0.7500
Ru1 Ru 0.0000 0.0000 0.0000
```

## Properties
- E_tot: -8.762 eV per atom
- Calculated volume: 12.28 A^3/atom
- Size of the total moment: 0.0 μB/cell
- Formation energy without anion corrections: 103 meV/atom

---

[6]
A plane-wave DFT calculation with PBE-GGA was carried out for crystalline ZrCrCd2 at its relaxed geometry.

Cell and atoms, written as CIF:
```
data_ZrCrCd2
_chemical_formula_sum 'Zr4 Cr4 Cd8'
_cell_length_a 4.0304
_cell_length_b 4.0304
_cell_length_c 21.2990
_cell_angle_alpha 90.00
_cell_angle_beta 90.00
_cell_angle_gamma 90.00
_space_group_name_H-M_alt 'I -4 2 d'
_space_group_IT_number 122
_space_group_name_Hall 'I -4 2bw'
loop_
_atom_site_label
_atom_site_type_symbol
_atom_site_fract_x
_atom_site_fract_y
_atom_site_fract_z
Zr1 Zr 0.0000 0.0000 0.0000
Cr1 Cr 0.0000 0.0000 0.5000
Cd1 Cd 0.2425 0.2500 0.6250
```

## Properties
- E_tot: -4.465 eV per atom
- Calculated volume: 21.62 A^3/atom
- E_form: 2.14 eV/f.u.
- Size of the total moment: 11.6 μB/cell
- Energy above the most stable polymorph in this dataset: 413 meV/atom